1.
Sr3Ca | SCAN | PBEsol geometry

a b c (Å): 4.579 6.478 7.588
angles (deg): 115.27 107.56 90.00
Element x y z (fractional)
Ca: 0.000 0.500 0.000
Sr: 0.745 0.745 0.490
Sr: 0.255 0.255 0.510
Sr: 0.500 0.000 0.000

E_form: 0.010 eV per atom
SG: Immm
VASP energy: -19.1121 eV per atom

***

2.
Sr3Ca | SCAN | PBEsol geometry

a b c (Å): 5.806 5.806 7.107
angles (deg): 114.11 114.11 90.00
Element x y z (fractional)
Sr: 0.250 0.750 0.500
Sr: 0.500 0.500 0.000
Sr: 0.750 0.250 0.500
Ca: 0.000 0.000 0.000

E_form: 0.012 eV per atom
SG: I4/mmm
VASP energy: -19.1106 eV per atom

***

3.
SrCa | SCAN | PBEsol geometry

a b c (Å): 6.278 6.278 6.278
angles (deg): 60.00 60.00 60.00
Element x y z (fractional)
Ca: 0.000 0.000 0.000
Sr: 0.250 0.250 0.250

Distance to the lowest polymorph of the same formula: 1088 meV/atom
E_form: 1.101 eV per atom
SG: F-43m
VASP energy: -14.8688 eV per atom

***

4.
SrCa | SCAN | PBEsol geometry

a b c (Å): 4.013 6.597 6.958
angles (deg): 90.00 90.00 90.00
Element x y z (fractional)
Sr: 0.000 0.500 0.911
Sr: 0.500 0.000 0.089
Ca: 0.000 0.000 0.583
Ca: 0.500 0.500 0.417

Distance to the lowest polymorph of the same formula: 14 meV/atom
E_form: 0.026 eV per atom
SG: Pmmn
VASP energy: -15.9434 eV per atom

***

5.
Sr2Ca | SCAN | PBEsol geometry

a b c (Å): 4.008 11.213 11.213
angles (deg): 120.00 90.00 90.00
Element x y z (fractional)
Sr: 0.500 0.641 0.000
Sr: 0.500 0.000 0.641
Sr: 0.000 0.000 0.306
Sr: 0.500 0.359 0.359
Sr: 0.000 0.694 0.694
Sr: 0.000 0.306 0.000
Ca: 0.000 0.333 0.667
Ca: 0.500 0.000 0.000
Ca: 0.000 0.667 0.333

Distance to the lowest polymorph of the same formula: 28 meV/atom
E_form: 0.040 eV per atom
SG: P-62m
VASP energy: -18.0315 eV per atom

***

6.
SrCa | SCAN | PBEsol geometry

a b c (Å): 4.025 4.025 6.949
angles (deg): 73.17 73.17 60.00
Element x y z (fractional)
Ca: 0.000 0.000 0.000
Sr: 0.500 0.500 0.500

Distance to the lowest polymorph of the same formula: 15 meV/atom
E_form: 0.028 eV per atom
SG: R-3m
VASP energy: -15.9416 eV per atom